CsMgSbPd | PBE | relaxed

As for the total energy: -2.70 eV per atom. Its space group is No. 216.

Lattice parameters (Å, degrees): 5.3239 5.3239 5.3239 60.00 60.00 60.00
Atoms (fractional coordinates):
Mg1 0.7500 0.7500 0.7500
Sb1 0.2500 0.2500 0.2500
Cs1 0.0000 0.0000 0.0000
Pd1 0.5000 0.5000 0.5000

---

Gd2DyAl3Si2Pt | PBE | relaxed

As for the spin magnetization: 0.0 μB per cell. As for the total energy: -5.54 eV per atom. Its space group is No. 38.

Lattice parameters (Å, degrees): 4.2391 6.9505 6.9505 120.00 90.00 90.00
Atoms (fractional coordinates):
Gd1 0.0000 0.5825 0.9995
Al1 0.5000 0.0007 0.2364
Al2 0.5000 0.2364 0.0007
Dy1 0.0000 0.4165 0.4165
Al3 0.5000 0.7633 0.7633
Si1 0.5000 0.3339 0.6649
Gd2 0.0000 0.9995 0.5825
Si2 0.5000 0.6649 0.3339
Pt1 0.0000 0.0023 0.0023

---

MgCdO2 | PBE | relaxed

As for the total energy: -4.91 eV per atom. Its space group is No. 12.

Lattice parameters (Å, degrees): 3.1474 3.1474 5.5505 106.39 106.39 60.05
Atoms (fractional coordinates):
Mg1 0.0000 0.0000 0.0000
O1 0.7390 0.7390 0.2159
Cd1 0.5000 0.5000 0.5000
O2 0.2610 0.2610 0.7841

---

- Number 1 is which compound?
  CsMgSbPd